Density functional theory data (PBE) for a relaxed structure of TiCd2Pb2.

## Properties
V = 26.0 A^3/atom
size of the total moment = 1.36 μB/f.u.
energy = -3.110 eV per atom
formation energy = 0.318 eV per atom

a = 7.734 Å, b = 7.734 Å, c = 4.350 Å
α = 90.00°, β = 90.00°, γ = 90.00°
Fractional coordinates of all 10 atoms:
Ti 0.000 0.000 0.000
Ti 0.500 0.500 0.000
Cd 0.148 0.352 0.500
Cd 0.352 0.852 0.500
Cd 0.648 0.148 0.500
Cd 0.852 0.648 0.500
Pb 0.158 0.658 0.000
Pb 0.342 0.158 0.000
Pb 0.658 0.842 0.000
Pb 0.842 0.342 0.000